# BiIrI2N | Alexandria | GGA-PBE | relaxed
data_BiIrI2N
_chemical_formula_sum 'Bi1 Ir1 I2 N1'
_cell_length_a 5.807
_cell_length_b 5.807
_cell_length_c 3.729
_cell_angle_alpha 90.00
_cell_angle_beta 90.00
_cell_angle_gamma 90.00
_symmetry_space_group_name_H-M 'P 4/m m m'
_symmetry_Int_Tables_number 123
_symmetry_space_group_name_Hall '-P 4 2'
loop_
_atom_site_label
_atom_site_fract_x
_atom_site_fract_y
_atom_site_fract_z
Bi1 0.000 0.000 0.000
Ir1 0.500 0.500 0.500
I1 0.000 0.500 0.500
N1 0.500 0.500 0.000
# Formation energy from raw total energies, eV/atom: 0.42
# E_tot, eV per formula unit: -22.05
# Excess energy over the best structure of this formula in the dataset, kJ/mol of formula units: 0

# Sc8As3S3N | Alexandria | GGA-PBE | relaxed
data_Sc8As3S3N
_chemical_formula_sum 'Sc24 As9 S9 N3'
_cell_length_a 7.4132
_cell_length_b 7.4132
_cell_length_c 18.4161
_cell_angle_alpha 90.00
_cell_angle_beta 90.00
_cell_angle_gamma 120.00
_symmetry_space_group_name_H-M 'R -3 m'
_symmetry_Int_Tables_number 166
_symmetry_space_group_name_Hall '-R 3 2"'
loop_
_atom_site_label
_atom_site_fract_x
_atom_site_fract_y
_atom_site_fract_z
Sc1 0.0000 0.0000 0.2486
Sc2 0.0387 0.5194 0.2381
As1 0.0000 0.5000 0.0000
S1 0.0000 0.5000 0.5000
N1 0.0000 0.0000 0.5000
# Formation energy from raw total energies, eV/atom: -1.50
# E_tot, eV per formula unit: -107.82

# MgGaAs2Br | Alexandria | GGA-PBE | relaxed
data_MgGaAs2Br
_chemical_formula_sum 'Mg1 Ga1 As2 Br1'
_cell_length_a 5.042
_cell_length_b 5.042
_cell_length_c 5.474
_cell_angle_alpha 90.00
_cell_angle_beta 90.00
_cell_angle_gamma 90.00
_symmetry_space_group_name_H-M 'P 4/m m m'
_symmetry_Int_Tables_number 123
_symmetry_space_group_name_Hall '-P 4 2'
loop_
_atom_site_label
_atom_site_fract_x
_atom_site_fract_y
_atom_site_fract_z
Mg1 0.000 0.000 0.000
Ga1 0.500 0.500 0.500
As1 0.000 0.500 0.000
Br1 0.000 0.000 0.500
# Formation energy from raw total energies, eV/atom: 0.27
# E_tot, eV per formula unit: -14.26
# Excess energy over the best structure of this formula in the dataset, kJ/mol of formula units: 0

# Na2TbNpSe4 | Alexandria | GGA-PBE | relaxed
data_Na2TbNpSe4
_chemical_formula_sum 'Na2 Tb1 Np1 Se4'
_cell_length_a 7.263
_cell_length_b 4.185
_cell_length_c 7.393
_cell_angle_alpha 90.00
_cell_angle_beta 109.20
_cell_angle_gamma 90.00
_symmetry_space_group_name_H-M 'P 1 2/m 1'
_symmetry_Int_Tables_number 10
loop_
_symmetry_equiv_pos_as_xyz
'x,y,z'
'-x,-y,-z'
'-x,y,-z'
'x,-y,z'
loop_
_atom_site_label
_atom_site_fract_x
_atom_site_fract_y
_atom_site_fract_z
Na1 0.000 0.000 0.000
Na2 0.500 0.500 0.000
Tb1 0.000 0.500 0.500
Np1 0.500 0.000 0.500
Se1 0.241 0.000 0.732
Se2 0.255 0.500 0.269
# Formation energy from raw total energies, eV/atom: -1.44
# E_tot, eV per formula unit: -45.69

# Y6GeC2S3 | Alexandria | GGA-PBE | relaxed
data_Y6GeC2S3
_chemical_formula_sum 'Y12 Ge2 C4 S6'
_cell_length_a 17.018
_cell_length_b 3.797
_cell_length_c 7.916
_cell_angle_alpha 90.00
_cell_angle_beta 103.94
_cell_angle_gamma 90.00
_symmetry_space_group_name_H-M 'C 1 2/m 1'
_symmetry_Int_Tables_number 12
loop_
_symmetry_equiv_pos_as_xyz
'x,y,z'
'-x,-y,-z'
'-x,y,-z'
'x,-y,z'
'x+1/2,y+1/2,z'
'-x+1/2,-y+1/2,-z'
'-x+1/2,y+1/2,-z'
'x+1/2,-y+1/2,z'
loop_
_atom_site_label
_atom_site_fract_x
_atom_site_fract_y
_atom_site_fract_z
Y1 0.015 0.000 0.263
Y2 0.171 0.500 0.119
Y3 0.177 0.500 0.564
Ge1 0.000 0.500 0.000
C1 0.171 0.000 0.341
S1 0.000 0.500 0.500
S2 0.164 0.000 0.831
# Formation energy from raw total energies, eV/atom: -1.31
# E_tot, eV per formula unit: -89.92

# Cu2ReOs2 | Alexandria | GGA-PBE | relaxed
data_Cu2ReOs2
_chemical_formula_sum 'Cu4 Re2 Os4'
_cell_length_a 6.836
_cell_length_b 6.836
_cell_length_c 2.897
_cell_angle_alpha 90.00
_cell_angle_beta 90.00
_cell_angle_gamma 90.00
_symmetry_space_group_name_H-M 'P 4/m b m'
_symmetry_Int_Tables_number 127
_symmetry_space_group_name_Hall '-P 4 2ab'
loop_
_atom_site_label
_atom_site_fract_x
_atom_site_fract_y
_atom_site_fract_z
Cu1 0.127 0.373 0.000
Re1 0.000 0.000 0.000
Os1 0.171 0.671 0.500
# ΔH_f (0 K), eV per atom: 0.635
# E_tot, eV per formula unit: -39.93
# Excess energy over the best structure of this formula in the dataset, kJ/mol of formula units: 0

# PrSnPt2 | Alexandria | GGA-PBE | relaxed
data_PrSnPt2
_chemical_formula_sum 'Pr4 Sn4 Pt8'
_cell_length_a 7.611
_cell_length_b 7.203
_cell_length_c 6.471
_cell_angle_alpha 90.00
_cell_angle_beta 90.00
_cell_angle_gamma 90.00
_symmetry_space_group_name_H-M 'P n m a'
_symmetry_Int_Tables_number 62
loop_
_symmetry_equiv_pos_as_xyz
'x,y,z'
'-x,-y,-z'
'-x+1/2,-y,z+1/2'
'x+1/2,y,-z+1/2'
'x+1/2,-y+1/2,-z+1/2'
'-x+1/2,y+1/2,z+1/2'
'-x,y+1/2,-z'
'x,-y+1/2,z'
loop_
_atom_site_label
_atom_site_fract_x
_atom_site_fract_y
_atom_site_fract_z
Pr1 0.023 0.250 0.171
Sn1 0.119 0.750 0.335
Pt1 0.189 0.053 0.560
# ΔH_f (0 K), eV per atom: -0.925
# E_tot, eV per formula unit: -24.56

# NiPtAu2 | Alexandria | GGA-PBE | relaxed
data_NiPtAu2
_chemical_formula_sum 'Ni1 Pt1 Au2'
_cell_length_a 2.841
_cell_length_b 2.841
_cell_length_c 7.774
_cell_angle_alpha 90.00
_cell_angle_beta 90.00
_cell_angle_gamma 90.00
_symmetry_space_group_name_H-M 'P 4/m m m'
_symmetry_Int_Tables_number 123
_symmetry_space_group_name_Hall '-P 4 2'
loop_
_atom_site_label
_atom_site_fract_x
_atom_site_fract_y
_atom_site_fract_z
Ni1 0.000 0.000 0.000
Pt1 0.000 0.000 0.500
Au1 0.500 0.500 0.231
# ΔH_f (0 K), eV per atom: 0.096
# E_tot, eV per formula unit: -17.99
# Excess energy over the best structure of this formula in the dataset, kJ/mol of formula units: 30